# 1
A geometry-optimized TbC structure. Source: the Alexandria database, functional PBE.

```
8
Lattice="3.719 0.000 0.000 0.000 3.719 0.000 0.000 0.000 9.094" Properties=species:S:1:pos:R:3 pbc="T T T"
Tb 0.000 0.000 1.413
Tb 0.000 0.000 7.681
Tb 1.860 1.860 3.134
Tb 1.860 1.860 5.960
C 0.000 0.000 3.833
C 0.000 0.000 5.261
C 1.860 1.860 0.714
C 1.860 1.860 8.379
```

Computed properties:
Crystal system   tetragonal
ΔH_f (0 K)   13.4 kJ per mole of atoms
Magnetization   0.000 μB/atom

# 2
A geometry-optimized Cd2TcP structure. Source: the Alexandria database, functional PBE.

```
8
Lattice="3.843 0.000 0.000 0.000 3.774 0.000 0.000 0.000 10.379" Properties=species:S:1:pos:R:3 pbc="T T T"
Cd 0.000 0.000 0.000
Cd 0.000 1.887 5.190
Cd 1.922 0.000 3.474
Cd 1.922 1.887 8.664
Tc 0.000 0.000 7.505
Tc 0.000 1.887 2.316
P 1.922 0.000 6.321
P 1.922 1.887 1.132
```

Computed properties:
Crystal system   orthorhombic
ΔH_f (0 K)   10.2 kJ per mole of atoms
Magnetization   0.000 μB/atom

# 3
A geometry-optimized Ca3Cu2Si3 structure. Source: the Alexandria database, functional PBE.

```
16
Lattice="2.056 -5.416 0.000 2.056 5.416 0.000 0.000 0.000 15.122" Properties=species:S:1:pos:R:3 pbc="T T T"
Ca 2.056 4.686 11.342
Ca 2.056 1.542 9.039
Ca 2.056 1.542 13.644
Ca 2.056 -1.542 1.478
Ca 2.056 -1.542 6.083
Ca 2.056 -4.686 3.781
Cu 2.056 1.602 1.759
Cu 2.056 1.602 5.802
Cu 2.056 -1.602 9.320
Cu 2.056 -1.602 13.363
Si 2.056 4.565 8.354
Si 2.056 4.565 14.329
Si 2.056 2.990 3.781
Si 2.056 -2.990 11.342
Si 2.056 -4.565 0.793
Si 2.056 -4.565 6.768
```

Computed properties:
Crystal system   orthorhombic
Formation energy without anion corrections   -425 meV per atom
Magnetization   0.000 μB/atom

# 4
A geometry-optimized BaPmIn2 structure. Source: the Alexandria database, functional PBE.

```
12
Lattice="3.970 0.000 0.000 -1.985 3.438 0.000 0.000 0.000 31.238" Properties=species:S:1:pos:R:3 pbc="T T T"
Ba 0.000 0.000 0.000
Ba 0.000 2.292 20.825
Ba 1.985 1.146 10.413
Pm 0.000 0.000 15.619
Pm 0.000 2.292 5.206
Pm 1.985 1.146 26.032
In 0.000 0.000 7.609
In 0.000 0.000 23.629
In 0.000 2.292 13.216
In 0.000 2.292 28.434
In 1.985 1.146 2.804
In 1.985 1.146 18.022
```

Computed properties:
Crystal system   trigonal
ΔH_f (0 K)   -20.0 kJ per mole of atoms
Magnetization   0.000 μB/atom

Number 1: volume 125.8 Å³ per cell, DFT total energy -6.789 eV/atom. Number 2: volume 150.5 Å³ per cell, DFT total energy -4.296 eV/atom. Number 3: volume 336.8 Å³ per cell, DFT total energy -4.234 eV/atom. Number 4: volume 426.5 Å³ per cell, DFT total energy -3.245 eV/atom.